Record 1
BaBeCr2 | GGA-PBE | optimized geometry

Unit cell a=5.243 b=5.243 c=5.243 alpha=130.04 beta=111.22 gamma=89.70
Positions (direct):
Ba 0.000 0.000 0.000
Be 0.661 0.161 0.500
Cr 0.339 0.839 0.500
Cr 0.514 0.514 0.000

Computed properties:
Volume   24.37 Å³ per atom
Total magnetization   0.41 Bohr magnetons per cell
E_form   90 kJ per mole of atoms
SG   Imm2 (44)

=====

Record 2
BaBeCr2 | GGA-PBE | optimized geometry

Unit cell a=3.373 b=3.822 c=6.897 alpha=90.00 beta=104.07 gamma=90.00
Positions (direct):
Ba 0.000 0.000 0.000
Be 0.650 0.500 0.300
Cr 0.274 0.500 0.552
Cr 0.750 0.000 0.503

Computed properties:
Volume   21.56 Å³ per atom
Total magnetization   0.10 Bohr magnetons per cell
E_form   64 kJ per mole of atoms
SG   Pm (6)

=====

Record 3
BaBeCr | GGA-PBE | optimized geometry

Unit cell a=4.242 b=4.242 c=5.051 alpha=90.00 beta=90.00 gamma=120.00
Positions (direct):
Ba 0.000 0.000 0.000
Be 0.667 0.333 0.500
Cr 0.333 0.667 0.500

Computed properties:
Volume   26.23 Å³ per atom
Total magnetization   3.70 Bohr magnetons per cell
E_form   71 kJ per mole of atoms
SG   P-6m2 (187)

=====

Record 4
Ba2BeCr | GGA-PBE | optimized geometry

Unit cell a=4.481 b=6.394 c=6.394 alpha=48.36 beta=90.00 gamma=90.00
Positions (direct):
Ba 0.000 0.000 0.000
Ba 0.500 0.295 0.295
Be 0.000 0.688 0.688
Cr 0.500 0.609 0.609

Computed properties:
Volume   34.23 Å³ per atom
Total magnetization   3.85 Bohr magnetons per cell
E_form   55 kJ per mole of atoms
SG   Amm2 (38)

=====

Record 5
Ba2BeCr | GGA-PBE | optimized geometry

Unit cell a=4.729 b=4.729 c=9.032 alpha=99.55 beta=99.55 gamma=49.63
Positions (direct):
Ba 0.240 0.240 0.231
Ba 0.760 0.760 0.769
Be 0.500 0.500 0.000
Cr 0.000 0.000 0.500

Computed properties:
Volume   37.82 Å³ per atom
Total magnetization   4.49 Bohr magnetons per cell
E_form   91 kJ per mole of atoms
SG   C2/m (12)

=====

Record 6
BaBeCr | GGA-PBE | optimized geometry

Unit cell a=6.279 b=6.279 c=6.279 alpha=148.89 beta=148.89 gamma=44.58
Positions (direct):
Ba 0.000 0.000 0.000
Be 0.715 0.715 0.000
Cr 0.266 0.266 0.000

Computed properties:
Volume   21.97 Å³ per atom
Total magnetization   3.18 Bohr magnetons per cell
E_form   70 kJ per mole of atoms
SG   I4mm (107)